Arrangement 1

Material: TiCo2Ir2
Method: DFT, PBE
State: optimized geometry Values from VASP.

```
&SYSTEM
  ibrav = 0, nat = 10, ntyp = 3
/
ATOMIC_SPECIES
Ir 192.22 Ir.upf
Co 58.93 Co.upf
Ti 47.87 Ti.upf
CELL_PARAMETERS angstrom
7.0585 0.0000 0.0000
0.0000 7.0585 0.0000
0.0000 0.0000 2.7061
ATOMIC_POSITIONS angstrom
Ir 1.2513 4.7805 1.3530
Ir 4.7805 5.8071 1.3530
Ir 5.8071 2.2779 1.3530
Ir 2.2779 1.2513 1.3530
Co 2.6857 6.2149 0.0000
Co 6.2149 4.3727 0.0000
Co 4.3727 0.8435 0.0000
Co 0.8435 2.6857 0.0000
Ti 0.0000 0.0000 0.0000
Ti 3.5292 3.5292 0.0000
```

---

Arrangement 2

Material: TiCo2Ir2
Method: DFT, PBE
State: optimized geometry Values from VASP.

```
&SYSTEM
  ibrav = 0, nat = 10, ntyp = 3
/
ATOMIC_SPECIES
Ir 192.22 Ir.upf
Co 58.93 Co.upf
Ti 47.87 Ti.upf
CELL_PARAMETERS angstrom
-6.4130 -3.0375 0.7457
0.9685 -3.5461 -6.1153
1.1348 -2.0588 1.3736
ATOMIC_POSITIONS angstrom
Ir -1.5241 -4.2016 -5.0383
Ir -4.9609 -4.8772 -3.2116
Ir -3.9204 -2.3820 -0.3312
Ir -0.4836 -1.7064 -2.1580
Co 0.1344 -3.9116 -3.2755
Co -2.9142 -6.0086 -3.8997
Co -4.4441 -4.7308 -0.7205
Co -1.3955 -2.6338 -0.0963
Ti 0.0000 0.0000 0.0000
Ti -2.7223 -3.2918 -2.6848
```

---

Order of stability, best first: arrangement 1, arrangement 2